LaHgSb2Te after structural relaxation. Source: the Alexandria database, functional PBE.

**Total moment**: 1.009 μB/f.u.
**Space-group type**: P4/mmm, No. 123
**Volume**: 235 Å³ per cell
**ΔE_f (raw)**: 5.6 kcal/mol of atoms

```
LaHgSb2Te
1.0
6.208 0.000 0.000
0.000 6.208 0.000
0.000 0.000 6.101
Sb Te La Hg
2 1 1 1
Cartesian
3.104 0.000 0.000 Sb
0.000 3.104 0.000 Sb
0.000 0.000 3.050 Te
0.000 0.000 0.000 La
3.104 3.104 3.050 Hg
```